14
Lattice="-3.561 1.807 4.163 -4.458 -2.385 -2.778 0.851 -4.932 2.869" Properties=species:S:1:pos:R:3 comment="Zn3CrO3 | the Alexandria database | PBE+U | optimized geometry" energy_ev_per_atom=-4.596 pbc="T T T"
Zn -1.591 -4.891 0.762
Zn -5.124 -0.885 -0.002
Zn -2.245 -1.111 4.557
Cr -3.584 -2.755 2.127
Cr 0.000 0.000 0.000
O -3.119 -0.741 -0.348
O -2.918 -4.254 -0.649
O -0.689 -3.062 0.740
O -1.568 -0.329 2.799
O -4.900 0.163 1.733
Zn -2.016 -2.425 -0.672
O -1.142 -2.795 4.233
Zn -0.465 -2.014 2.475
Zn -2.895 0.307 1.387